Re3WAu | PBE-GGA | relaxed

Cell lengths 4.7060, 4.7060, 4.7060 Å; angles 90.00, 90.00, 90.00 degrees
Fractional positions:
1 Au 0.0000 0.0000 0.0000
2 Re 0.5000 0.0000 0.0000
3 Re 0.0000 0.5000 0.0000
4 Re 0.0000 0.0000 0.5000
5 W 0.5000 0.5000 0.5000

Computed properties:
Space group ... No. 221
Polymorph energy (0 for the lowest one) ... 883 meV per atom
Density of states at the Fermi level ... 1.6454 states/eV per atom

***

Re2WAu | PBE-GGA | relaxed

Cell lengths 2.7266, 2.7266, 9.1764 Å; angles 90.00, 90.00, 109.20 degrees
Fractional positions:
1 Re 0.0000 0.0000 0.0156
2 Re 0.5000 0.5000 0.2489
3 W 0.0000 0.0000 0.4865
4 Au 0.5000 0.5000 0.7490

Computed properties:
Space group ... No. 35
Polymorph energy (0 for the lowest one) ... 173 meV per atom
Density of states at the Fermi level ... 0.9920 states/eV per atom

***

Re2WAu | PBE-GGA | relaxed

Cell lengths 2.8050, 2.8050, 8.1610 Å; angles 90.00, 90.00, 90.00 degrees
Fractional positions:
1 Re 0.5000 0.5000 0.2409
2 Re 0.0000 0.0000 0.0206
3 W 0.0000 0.0000 0.4867
4 Au 0.5000 0.5000 0.7517

Computed properties:
Space group ... No. 99
Polymorph energy (0 for the lowest one) ... 49 meV per atom
Density of states at the Fermi level ... 1.0957 states/eV per atom

***

Re4WAu | PBE-GGA | relaxed

Cell lengths 5.1710, 5.1710, 5.1710 Å; angles 60.00, 60.00, 60.00 degrees
Fractional positions:
1 Au 0.0000 0.0000 0.0000
2 Re 0.3742 0.3742 0.3742
3 Re 0.8774 0.3742 0.3742
4 Re 0.3742 0.8774 0.3742
5 Re 0.3742 0.3742 0.8774
6 W 0.7500 0.7500 0.7500

Computed properties:
Space group ... No. 216
Density of states at the Fermi level ... 1.0278 states/eV per atom
Uncorrected energy ... -10.55 eV/atom

***

ReWAu | PBE-GGA | relaxed

Cell lengths 4.3321, 4.3321, 4.3321 Å; angles 60.00, 60.00, 60.00 degrees
Fractional positions:
1 Au 0.0000 0.0000 0.0000
2 Re 0.5000 0.5000 0.5000
3 W 0.2500 0.2500 0.2500

Computed properties:
Space group ... No. 216
Polymorph energy (0 for the lowest one) ... 512 meV per atom
Density of states at the Fermi level ... 0.3104 states/eV per atom

***

Re2WAu | PBE-GGA | relaxed

Cell lengths 7.2767, 7.2767, 5.8065 Å; angles 51.20, 51.20, 90.00 degrees
Fractional positions:
1 Au 0.7500 0.2500 0.5000
2 Au 0.0000 0.0000 0.0000
3 W 0.5000 0.5000 0.0000
4 W 0.2500 0.7500 0.5000
5 Re 0.8750 0.8456 0.7500
6 Re 0.3750 0.4044 0.7500
7 Re 0.1544 0.6250 0.2500
8 Re 0.5956 0.1250 0.2500

Computed properties:
Space group ... No. 122
Polymorph energy (0 for the lowest one) ... 803 meV per atom
Density of states at the Fermi level ... 0.7106 states/eV per atom

***

Going through the records in order, we get total moment values of 0.000; 0.002; 0.000; 0.000; 0.000; 0.000 μB per formula unit.